NaV2O4 after structural relaxation. Source: the Alexandria database, functional PBEsol.

raw total energy = -8.216 eV/atom
density = 3893 kg/m³
energy relative to the elements, uncorrected = -2.2635 eV per atom

Unit cell a=4.946 b=5.707 c=11.418 alpha=90.00 beta=90.00 gamma=90.00
Each line ends with the local moment (μB).
Atoms (fractional coordinates):
O  0.166  0.247  0.655  0.01
Na  0.353  0.500  0.500  0.00
O  0.327  0.500  0.161  0.01
O  0.339  0.000  0.155  0.02
V  0.500  0.750  0.750  1.28
O  0.834  0.253  0.155  0.01
O  0.834  0.747  0.155  0.01
V  0.500  0.250  0.250  1.28
V  0.996  0.500  0.257  1.31
O  0.661  0.500  0.655  0.02
O  0.166  0.753  0.345  0.01
Na  0.647  0.000  0.000  0.00
O  0.166  0.753  0.655  0.01
Na  0.967  0.000  0.500  0.00
O  0.673  0.000  0.661  0.01
V  0.996  0.500  0.743  1.31
V  0.004  0.000  0.243  1.31
V  0.500  0.750  0.250  1.28
O  0.834  0.253  0.845  0.01
O  0.339  0.000  0.845  0.02
V  0.004  0.000  0.757  1.31
O  0.673  0.000  0.339  0.01
Na  0.033  0.500  0.000  0.00
O  0.834  0.747  0.845  0.01
O  0.166  0.247  0.345  0.01
O  0.327  0.500  0.839  0.01
V  0.500  0.250  0.750  1.28
O  0.661  0.500  0.345  0.02

=====

SrMgSc after structural relaxation. Source: the Alexandria database, functional PBEsol.

raw total energy = -2.479 eV/atom
density = 2370 kg/m³

Unit cell a=5.377 b=5.377 c=5.377 alpha=60.00 beta=60.00 gamma=60.00
Atoms (fractional coordinates):
Sc  0.500  0.500  0.500
Sr  0.750  0.750  0.750
Mg  0.000  0.000  0.000

=====

SrScTi2Re after structural relaxation. Source: the Alexandria database, functional PBEsol.

raw total energy = -6.845 eV/atom
density = 5413 kg/m³

Unit cell a=4.765 b=4.765 c=5.600 alpha=90.00 beta=90.00 gamma=90.00
Atoms (fractional coordinates):
Sc  0.500  0.500  0.500
Re  0.000  0.000  0.000
Ti  0.000  0.500  0.000
Sr  0.000  0.000  0.500
Ti  0.500  0.000  0.000

=====

CeCoSi2Rh after structural relaxation. Source: the Alexandria database, functional PBEsol.

raw total energy = -7.715 eV/atom
density = 7680 kg/m³
energy relative to the elements, uncorrected = -0.9225 eV per atom

Unit cell a=3.955 b=3.955 c=5.685 alpha=110.36 beta=110.36 gamma=90.00
Atoms (fractional coordinates):
Ce  0.000  0.000  0.000
Si  0.624  0.624  0.248
Co  0.750  0.250  0.500
Rh  0.250  0.750  0.500
Si  0.376  0.376  0.752